Entry 1:
An optimized crystal structure of CaAcCuSi, computed with PBE.

abc: 5.261 5.261 5.261
angles: 60.00 60.00 60.00
Sites, in units of the cell vectors:
1 Ca 0.000 0.000 0.000
2 Ac 0.500 0.500 0.500
3 Cu 0.250 0.250 0.250
4 Si 0.750 0.750 0.750

Entry 2:
An optimized crystal structure of CaAcCuSi, computed with PBE.

abc: 8.118 8.118 8.118
angles: 29.84 29.84 29.84
Sites, in units of the cell vectors:
1 Ca 0.000 0.000 0.000
2 Ac 0.174 0.174 0.174
3 Cu 0.415 0.415 0.415
4 Si 0.751 0.751 0.751

Entry 3:
An optimized crystal structure of CaAcCuSn, computed with PBE.

abc: 5.480 5.480 5.480
angles: 60.00 60.00 60.00
Sites, in units of the cell vectors:
1 Ca 0.000 0.000 0.000
2 Ac 0.500 0.500 0.500
3 Cu 0.250 0.250 0.250
4 Sn 0.750 0.750 0.750

Results
Formation enthalpy at 0 K, eV/atom: -0.404

Entry 4:
An optimized crystal structure of CaAcTlCu, computed with PBE.

abc: 5.496 5.496 5.496
angles: 60.00 60.00 60.00
Sites, in units of the cell vectors:
1 Ca 0.000 0.000 0.000
2 Ac 0.500 0.500 0.500
3 Tl 0.250 0.250 0.250
4 Cu 0.750 0.750 0.750

Results
Formation enthalpy at 0 K, eV/atom: -0.214

Entry 5:
An optimized crystal structure of CaAcZn2Cu2, computed with PBE.

abc: 4.479 4.479 7.728
angles: 90.00 90.00 120.00
Sites, in units of the cell vectors:
1 Ca 0.000 0.000 0.000
2 Ac 0.000 0.000 0.500
3 Zn 0.333 0.667 0.774
4 Zn 0.667 0.333 0.226
5 Cu 0.333 0.667 0.232
6 Cu 0.667 0.333 0.768

Results
Formation enthalpy at 0 K, eV/atom: -0.227

Entry 6:
An optimized crystal structure of Ca2AcDy, computed with PBE.

abc: 13.660 13.660 13.660
angles: 15.58 15.58 15.58
Sites, in units of the cell vectors:
1 Ca 0.085 0.085 0.085
2 Ca 0.915 0.915 0.915
3 Ac 0.500 0.500 0.500
4 Dy 0.000 0.000 0.000

Results
Formation enthalpy at 0 K, eV/atom: 0.256

Entry 7:
An optimized crystal structure of CaAc5Dy, computed with PBE.

abc: 5.850 5.850 9.257
angles: 90.00 90.00 90.00
Sites, in units of the cell vectors:
1 Ca 0.000 0.000 0.000
2 Ac 0.000 0.500 0.287
3 Ac 0.000 0.500 0.713
4 Ac 0.500 0.000 0.287
5 Ac 0.500 0.000 0.713
6 Ac 0.500 0.500 0.000
7 Dy 0.000 0.000 0.500

Results
Formation enthalpy at 0 K, eV/atom: 0.226

Entry 8:
An optimized crystal structure of CaAc6Dy, computed with PBE.

abc: 5.545 5.545 11.085
angles: 90.00 90.00 90.00
Sites, in units of the cell vectors:
1 Ca 0.000 0.000 0.000
2 Ac 0.000 0.500 0.257
3 Ac 0.000 0.500 0.743
4 Ac 0.500 0.000 0.257
5 Ac 0.500 0.000 0.743
6 Ac 0.500 0.500 0.000
7 Ac 0.500 0.500 0.500
8 Dy 0.000 0.000 0.500

Results
Formation enthalpy at 0 K, eV/atom: 0.027

Going through the records in order, we get total DFT energy (no corrections) values of -4.2058, -4.2610, -3.9562, -3.3568, -3.0353, -2.9223, -3.6517, -3.8798 eV/atom.